The following is a GGA-PBE calculation of a geometry-optimized B2TeP structure, from Alexandria via LeMat-Bulk.

Summary:
Energy relative to the elements, uncorrected in meV/atom: 360
Calculated volume in A^3/atom: 15.53
Energy relative to the lowest polymorph listed for this composition in meV per atom: 120
SG: Cm, No. 8
E_tot in eV/atom: -5.117

Unit cell a=3.372 b=3.372 c=6.591 alpha=104.49 beta=104.49 gamma=60.02
Atoms (fractional coordinates):
B  0.000  0.000  0.000
B  0.208  0.208  0.618
Te  0.817  0.817  0.440
P  0.311  0.311  0.932